1.
Here is SrFe2Ag after structural relaxation from Alexandria. Energies are from GGA-PBE.

abc: 8.6378 3.9441 5.6230
angles: 90.00 110.48 90.00
Fractional positions:
Sr1 0.0000 0.0000 0.0000
Sr2 0.5000 0.5000 0.0000
Fe1 0.2169 0.0000 0.5893
Fe2 0.2831 0.5000 0.4107
Fe3 0.7169 0.5000 0.5893
Fe4 0.7831 0.0000 0.4107
Ag1 0.0000 0.5000 0.5000
Ag2 0.5000 0.0000 0.5000

Summary:
Its electronic total energy is -19.7 eV/f.u. The formation enthalpy at 0 K comes out at 0.45 eV per atom. Its density of states at the Fermi level is 0.732 states/eV/atom. As for the space group: C2/m, No. 12.

---

2.
Here is DyY6Er3Th2 after structural relaxation from Alexandria. Energies are from GGA-PBE.

abc: 6.1650 6.1650 11.7738
angles: 95.02 95.02 119.95
Fractional positions:
Dy1 0.0000 0.0000 0.0000
Y1 0.0837 0.4202 0.2489
Y2 0.2531 0.2531 0.7509
Y3 0.4202 0.0837 0.2489
Y4 0.5798 0.9163 0.7511
Y5 0.7469 0.7469 0.2491
Y6 0.9163 0.5798 0.7511
Er1 0.1664 0.8336 0.5000
Er2 0.5000 0.5000 0.5000
Er3 0.8336 0.1664 0.5000
Th1 0.3333 0.6667 0.0000
Th2 0.6667 0.3333 0.0000

Summary:
Its electronic total energy is -71.6 eV/f.u. The formation enthalpy at 0 K comes out at 0.03 eV per atom. Its density of states at the Fermi level is 1.499 states/eV/atom. As for the space group: C2/m, No. 12.